DFT (PBE) results for a relaxed Rb2Tl7Bi crystal.

Computed properties:
Energy relative to the lowest polymorph listed for this composition = 19.4 kJ per mole of atoms

Cell lengths 8.768, 8.768, 8.768 Å; angles 60.00, 60.00, 60.00 degrees
Atoms (fractional coordinates):
Rb  0.250  0.250  0.250
Rb  0.750  0.750  0.750
Tl  0.000  0.000  0.000
Tl  0.250  0.250  0.750
Tl  0.250  0.750  0.250
Tl  0.250  0.750  0.750
Tl  0.750  0.250  0.250
Tl  0.750  0.250  0.750
Tl  0.750  0.750  0.250
Bi  0.500  0.500  0.500



DFT (PBE) results for a relaxed Zr5TlAu crystal.

Computed properties:
Calculated total energy = -0.512 Ry/atom

Cell lengths 7.585, 7.585, 5.821 Å; angles 103.14, 103.14, 87.38 degrees
Atoms (fractional coordinates):
Zr  0.155  0.339  0.589
Zr  0.164  0.542  0.177
Zr  0.231  0.769  0.750
Zr  0.339  0.155  0.089
Zr  0.458  0.836  0.323
Zr  0.542  0.164  0.677
Zr  0.661  0.845  0.911
Zr  0.769  0.231  0.250
Zr  0.836  0.458  0.823
Zr  0.845  0.661  0.411
Tl  0.062  0.938  0.250
Tl  0.938  0.062  0.750
Au  0.500  0.500  0.000
Au  0.500  0.500  0.500



DFT (PBE) results for a relaxed Hg4AsPb crystal.

Computed properties:
Calculated total energy = -0.095 Ry/atom

Cell lengths 6.039, 6.039, 6.039 Å; angles 60.00, 60.00, 60.00 degrees
Atoms (fractional coordinates):
Hg  0.125  0.125  0.125
Hg  0.125  0.125  0.626
Hg  0.125  0.626  0.125
Hg  0.626  0.125  0.125
As  0.750  0.750  0.750
Pb  0.500  0.500  0.500



DFT (PBE) results for a relaxed TePb3 crystal.

Computed properties:
Energy relative to the lowest polymorph listed for this composition = 0.0 kJ per mole of atoms
Uncorrected formation energy = -65 meV/atom

Cell lengths 6.845, 6.845, 5.680 Å; angles 90.00, 90.00, 107.50 degrees
Atoms (fractional coordinates):
Te  0.138  0.862  0.750
Te  0.862  0.138  0.250
Pb  0.087  0.359  0.750
Pb  0.359  0.087  0.250
Pb  0.412  0.588  0.250
Pb  0.588  0.412  0.750
Pb  0.641  0.913  0.750
Pb  0.913  0.641  0.250